Below is an optimized crystal structure of Mg2Zn2CuNi5, with properties calculated at the PBE level.

Results
- Space-group type: P4/mbm (127)
- Theoretical density: 6.6 g cm⁻³
- Volume: 13.43 Å³/atom
- Uncorrected energy: -78.53 eV/cell
- Formation energy from the elements: -53 meV/atom

abc: 3.5654 8.6795 8.6795
angles: 90.00 90.00 90.00
Last column: nearest neighbours and their distance in Å.
Fractional positions:
Mg 0.0000 0.6732 0.1732  3 Zn 2.46-2.63
Mg 0.0000 0.3268 0.8268  3 Zn 2.46-2.63
Mg 0.0000 0.1732 0.3268  3 Zn 2.46-2.63
Mg 0.0000 0.8268 0.6732  3 Zn 2.46-2.63
Zn 0.0000 0.1262 0.6262  6 Ni 2.36-2.42, 3 Mg 2.46-2.63
Zn 0.0000 0.8738 0.3738  6 Ni 2.36-2.42, 3 Mg 2.46-2.63
Zn 0.0000 0.6262 0.8738  6 Ni 2.36-2.42, 3 Mg 2.46-2.63
Zn 0.0000 0.3738 0.1262  6 Ni 2.36-2.42, 3 Mg 2.46-2.63
Cu 0.0000 0.0000 0.0000  8 Ni 2.52
Cu 0.0000 0.5000 0.5000  8 Ni 2.52
Ni 0.5000 0.1953 0.0648  2 Zn 2.42, 2 Cu 2.52, 3 Ni 2.53-2.70
Ni 0.5000 0.8047 0.9352  2 Zn 2.42, 2 Cu 2.52, 3 Ni 2.53-2.70
Ni 0.5000 0.0648 0.8047  2 Zn 2.42, 2 Cu 2.52, 3 Ni 2.53-2.70
Ni 0.5000 0.6953 0.4352  2 Zn 2.42, 2 Cu 2.52, 3 Ni 2.53-2.70
Ni 0.5000 0.9352 0.1953  2 Zn 2.42, 2 Cu 2.52, 3 Ni 2.53-2.70
Ni 0.5000 0.3047 0.5648  2 Zn 2.42, 2 Cu 2.52, 3 Ni 2.53-2.70
Ni 0.5000 0.5648 0.6953  2 Zn 2.42, 2 Cu 2.52, 3 Ni 2.53-2.70
Ni 0.5000 0.4352 0.3047  2 Zn 2.42, 2 Cu 2.52, 3 Ni 2.53-2.70
Ni 0.5000 0.5000 0.0000  4 Zn 2.36
Ni 0.5000 0.0000 0.5000  4 Zn 2.36

=====

Below is an optimized crystal structure of Mg2ZnCu2Ni5, with properties calculated at the PBE level.

Results
- Space-group type: P4/mbm (127)
- Theoretical density: 6.8 g cm⁻³
- Volume: 13.14 Å³/atom
- Uncorrected energy: -84.27 eV/cell
- Formation energy from the elements: -57 meV/atom

abc: 3.7302 8.3929 8.3929
angles: 90.00 90.00 90.00
Last column: nearest neighbours and their distance in Å.
Fractional positions:
Mg 0.0000 0.6752 0.1752  3 Cu 2.41-2.53
Mg 0.0000 0.3248 0.8248  3 Cu 2.41-2.53
Mg 0.0000 0.1752 0.3248  3 Cu 2.41-2.53
Mg 0.0000 0.8248 0.6752  3 Cu 2.41-2.53
Zn 0.0000 0.0000 0.0000  8 Ni 2.58
Zn 0.0000 0.5000 0.5000  8 Ni 2.58
Cu 0.0000 0.1214 0.6214  6 Ni 2.36-2.43, 3 Mg 2.41-2.53
Cu 0.0000 0.8786 0.3786  6 Ni 2.36-2.43, 3 Mg 2.41-2.53
Cu 0.0000 0.6214 0.8786  6 Ni 2.36-2.43, 3 Mg 2.41-2.53
Cu 0.0000 0.3786 0.1214  6 Ni 2.36-2.43, 3 Mg 2.41-2.53
Ni 0.5000 0.2007 0.0680  2 Cu 2.43, 3 Ni 2.52-2.58, 2 Zn 2.58
Ni 0.5000 0.7993 0.9320  2 Cu 2.43, 3 Ni 2.52-2.58, 2 Zn 2.58
Ni 0.5000 0.0680 0.7993  2 Cu 2.43, 3 Ni 2.52-2.58, 2 Zn 2.58
Ni 0.5000 0.7007 0.4320  2 Cu 2.43, 3 Ni 2.52-2.58, 2 Zn 2.58
Ni 0.5000 0.9320 0.2007  2 Cu 2.43, 3 Ni 2.52-2.58, 2 Zn 2.58
Ni 0.5000 0.2993 0.5680  2 Cu 2.43, 3 Ni 2.52-2.58, 2 Zn 2.58
Ni 0.5000 0.5680 0.7007  2 Cu 2.43, 3 Ni 2.52-2.58, 2 Zn 2.58
Ni 0.5000 0.4320 0.2993  2 Cu 2.43, 3 Ni 2.52-2.58, 2 Zn 2.58
Ni 0.5000 0.5000 0.0000  4 Cu 2.36, 4 Ni 2.58
Ni 0.5000 0.0000 0.5000  4 Cu 2.36, 4 Ni 2.58

=====

Below is an optimized crystal structure of Mg2Zn5CuNi2, with properties calculated at the PBE level.

Results
- Space-group type: P4/mbm (127)
- Theoretical density: 6.3 g cm⁻³
- Volume: 14.77 Å³/atom
- Uncorrected energy: -53.44 eV/cell
- Formation energy from the elements: -150 meV/atom

abc: 3.7776 8.8441 8.8441
angles: 90.00 90.00 90.00
Last column: nearest neighbours and their distance in Å.
Fractional positions:
Mg 0.0000 0.6742 0.1742  3 Ni 2.57-2.65
Mg 0.0000 0.3258 0.8258  3 Ni 2.57-2.65
Mg 0.0000 0.1742 0.3258  3 Ni 2.57-2.65
Mg 0.0000 0.8258 0.6742  3 Ni 2.57-2.65
Zn 0.5000 0.2007 0.0710  2 Ni 2.50, 3 Zn 2.66-2.72, 2 Cu 2.67
Zn 0.5000 0.7993 0.9290  2 Ni 2.50, 3 Zn 2.66-2.72, 2 Cu 2.67
Zn 0.5000 0.0710 0.7993  2 Ni 2.50, 3 Zn 2.66-2.72, 2 Cu 2.67
Zn 0.5000 0.7007 0.4290  2 Ni 2.50, 3 Zn 2.66-2.72, 2 Cu 2.67
Zn 0.5000 0.9290 0.2007  2 Ni 2.50, 3 Zn 2.66-2.72, 2 Cu 2.67
Zn 0.5000 0.2993 0.5710  2 Ni 2.50, 3 Zn 2.66-2.72, 2 Cu 2.67
Zn 0.5000 0.5710 0.7007  2 Ni 2.50, 3 Zn 2.66-2.72, 2 Cu 2.67
Zn 0.5000 0.4290 0.2993  2 Ni 2.50, 3 Zn 2.66-2.72, 2 Cu 2.67
Zn 0.5000 0.5000 0.0000  4 Ni 2.41
Zn 0.5000 0.0000 0.5000  4 Ni 2.41
Cu 0.0000 0.0000 0.0000  8 Zn 2.67
Cu 0.0000 0.5000 0.5000  8 Zn 2.67
Ni 0.0000 0.1200 0.6200  6 Zn 2.41-2.50, 3 Mg 2.57-2.65
Ni 0.0000 0.8800 0.3800  6 Zn 2.41-2.50, 3 Mg 2.57-2.65
Ni 0.0000 0.6200 0.8800  6 Zn 2.41-2.50, 3 Mg 2.57-2.65
Ni 0.0000 0.3800 0.1200  6 Zn 2.41-2.50, 3 Mg 2.57-2.65

=====

Below is an optimized crystal structure of MgZrCuNi, with properties calculated at the PBE level.

Results
- Space-group type: F-43m (216)
- Theoretical density: 6.2 g cm⁻³
- Volume: 15.87 Å³/atom
- Uncorrected energy: -20.99 eV/cell
- Formation energy from the elements: -242 meV/atom

abc: 4.4777 4.4777 4.4777
angles: 60.00 60.00 60.00
Last column: nearest neighbours and their distance in Å.
Fractional positions:
Ni 0.7500 0.7500 0.7500  4 Mg 2.74, 4 Zr 2.74
Mg 0.0000 0.0000 0.0000  4 Cu 2.74, 4 Ni 2.74
Cu 0.2500 0.2500 0.2500  4 Zr 2.74, 4 Mg 2.74
Zr 0.5000 0.5000 0.5000  4 Ni 2.74, 4 Cu 2.74